i.
Computed, not measured: a relaxed structure of Nd2TeI3 at the PBE-GGA level of DFT.

Computed properties:
Its symmetry is P2_1/m.

Cell lengths 4.3688, 11.3844, 13.3724 Å; angles 119.12, 90.00, 90.00 degrees
With the nearest neighbours (Å) after each atom.
Positions (direct):
Nd  0.2500  0.3059  0.8356  4 I 3.12-3.27, 2 Te 3.14
Nd  0.7500  0.6941  0.1644  4 I 3.12-3.27, 2 Te 3.14
Nd  0.7500  0.0782  0.3848  3 I 3.11-3.14, 3 Te 3.20-3.24
Nd  0.2500  0.9218  0.6152  3 I 3.11-3.14, 3 Te 3.20-3.24
Te  0.2500  0.8559  0.3503  5 Nd 3.14-3.24
Te  0.7500  0.1441  0.6497  5 Nd 3.14-3.24
I  0.7500  0.9381  0.1185  2 Nd 3.11-3.12
I  0.2500  0.0619  0.8815  2 Nd 3.11-3.12
I  0.7500  0.5420  0.8851  3 Nd 3.26-3.27
I  0.2500  0.4580  0.1149  3 Nd 3.26-3.27
I  0.2500  0.2979  0.4354  2 Nd 3.14
I  0.7500  0.7021  0.5646  2 Nd 3.14


ii.
Computed, not measured: a relaxed structure of Nd2TeI3 at the PBE-GGA level of DFT.

Computed properties:
Its symmetry is C2/m.

Cell lengths 4.4455, 10.0537, 11.6938 Å; angles 80.35, 79.04, 77.23 degrees
With the nearest neighbours (Å) after each atom.
Positions (direct):
Nd  0.8662  0.4276  0.8401  2 Te 3.09, 4 I 3.14-3.28
Nd  0.1338  0.5724  0.1599  2 Te 3.09, 4 I 3.14-3.28
Nd  0.6049  0.2287  0.5616  5 I 3.21-3.46, 2 Te 3.23-3.29
Nd  0.3951  0.7713  0.4384  5 I 3.21-3.46, 2 Te 3.23-3.29
Te  0.4089  0.5220  0.6602  4 Nd 3.09-3.29
Te  0.5911  0.4780  0.3398  4 Nd 3.09-3.29
I  0.0524  0.1316  0.7636  3 Nd 3.14-3.26
I  0.9476  0.8684  0.2364  3 Nd 3.14-3.26
I  0.6667  0.7005  0.9662  3 Nd 3.21-3.28
I  0.3333  0.2995  0.0338  3 Nd 3.21-3.28
I  0.7588  0.8723  0.6100  3 Nd 3.21-3.46
I  0.2412  0.1277  0.3900  3 Nd 3.21-3.46


Energies relative to the minimum, kJ/mol of atoms: i 0.0; ii 2.7


i.
Computed, not measured: a relaxed structure of Nd2Te2I at the PBE-GGA level of DFT.

Computed properties:
Its symmetry is I4/mmm.

Cell lengths 4.4858, 4.4858, 9.8967 Å; angles 103.10, 103.10, 90.00 degrees
With the nearest neighbours (Å) after each atom.
Positions (direct):
Nd  0.8337  0.8337  0.6674  1 I 3.12, 5 Te 3.17-3.22
Nd  0.1663  0.1663  0.3326  1 I 3.12, 5 Te 3.17-3.22
Te  0.6619  0.6619  0.3237  5 Nd 3.17-3.22
Te  0.3381  0.3381  0.6763  5 Nd 3.17-3.22
I  0.0000  0.0000  0.0000  2 Nd 3.12


ii.
Computed, not measured: a relaxed structure of Nd2Te2I at the PBE-GGA level of DFT.

Computed properties:
Its symmetry is Immm.

Cell lengths 4.4879, 6.2345, 7.7972 Å; angles 113.56, 106.73, 90.00 degrees
With the nearest neighbours (Å) after each atom.
Positions (direct):
Nd  0.6805  0.1805  0.3610  4 Te 3.13, 2 I 3.32
Nd  0.3195  0.8195  0.6390  4 Te 3.13, 2 I 3.32
Te  0.3418  0.3418  0.6836  4 Nd 3.13
Te  0.6582  0.6582  0.3164  4 Nd 3.13
I  0.0000  0.0000  0.0000  4 Nd 3.32


Energies relative to the minimum, kJ/mol of atoms: i 0.0; ii 5.8